# La2RePt

A geometry-optimized La2RePt structure (PBE, Alexandria via LeMat-Bulk).

Geometry as POSCAR:
```
La2RePt
1.0
1.9034 1.0989 8.2108
-1.9034 1.0989 8.2108
0.0000 -2.1978 8.2108
La Re Pt
2 1 1
direct
0.2487 0.2487 0.2487
0.7513 0.7513 0.7513
0.0000 0.0000 0.0000
0.5000 0.5000 0.5000
```

Summary:
The energy above the most stable polymorph in this dataset comes out at 288 meV/atom.



# CdMo2Os

A geometry-optimized CdMo2Os structure (PBE, Alexandria via LeMat-Bulk).

Geometry as POSCAR:
```
CdMo2Os
1.0
4.8004 -1.4328 0.0000
4.8004 1.4328 0.0000
-1.0693 0.0000 4.7978
Cd Mo Os
1 2 1
direct
0.0000 0.0000 0.0000
0.2343 0.2343 0.7263
0.4893 0.4893 0.4919
0.7609 0.7609 0.2789
```



# TmLuIn

A geometry-optimized TmLuIn structure (PBE, Alexandria via LeMat-Bulk).

Geometry as POSCAR:
```
TmLuIn
1.0
-1.7337 1.7337 6.7701
1.7337 -1.7337 6.7701
1.7337 1.7337 -6.7701
Tm Lu In
1 1 1
direct
0.0000 0.0000 0.0000
0.3175 0.3175 0.0000
0.6596 0.6596 0.0000
```

Summary:
The energy above the most stable polymorph in this dataset comes out at 0 meV/atom.



no.,energy relative to the elements (eV/f.u.),calculated volume (Å³/atom)
1,0.2,25.8
2,1.6,16.5
3,-0.9,27.1